Entry from the Alexandria database: a relaxed structure of LiTlH6Ir (PBE).

Total DFT energy (no corrections)   -3.775 eV per atom
V   100 Å³/f.u.
Total magnetic moment   0.0 μB/cell

Cell: 4.7755 4.9208 4.9577 Å, 78.33 74.91 63.61°
Element x y z (fractional)
1 Li 0.0000 0.0000 0.0000
2 Tl 0.6772 0.5626 0.5183
3 H 0.0120 0.6279 0.8921
4 H 0.1353 0.1769 0.2513
5 H 0.2399 0.2359 0.7510
6 H 0.2884 0.6176 0.1752
7 H 0.5711 0.2040 0.2234
8 H 0.5865 0.0031 0.9147
9 Ir 0.3276 0.3420 0.0004